(1)
This record from Alexandria via LeMat-Bulk describes Pr5Ge3 after structural relaxation. The functional is PBE-GGA.

a b c (Å): 7.994 7.994 9.016
angles (deg): 116.32 116.32 90.00
Fractional coordinates of all 16 atoms:
Pr 0.000 0.000 0.000
Pr 0.500 0.500 0.000
Pr 0.527 0.027 0.707
Pr 0.180 0.680 0.707
Pr 0.680 0.527 0.707
Pr 0.027 0.180 0.707
Pr 0.473 0.973 0.293
Pr 0.820 0.320 0.293
Pr 0.320 0.473 0.293
Pr 0.973 0.820 0.293
Ge 0.750 0.750 0.500
Ge 0.250 0.250 0.500
Ge 0.124 0.624 0.000
Ge 0.876 0.376 0.000
Ge 0.376 0.124 0.000
Ge 0.624 0.876 0.000

Summary:
Excess energy over the best structure of this formula in the dataset: 0.0067 eV/atom
Space group: I4/mcm (140)
Electronic total energy: -43.18 eV/f.u.
Magnetic moment: 0.183 μB per cell
Formation energy from the elements: -679 meV per atom

(2)
This record from Alexandria via LeMat-Bulk describes YReO5 after structural relaxation. The functional is PBE-GGA.

a b c (Å): 5.516 5.516 7.568
angles (deg): 69.85 69.85 70.86
Fractional coordinates of all 14 atoms:
Y 0.550 0.450 0.250
Y 0.450 0.550 0.750
Re 0.000 0.000 0.000
Re 0.000 0.000 0.500
O 0.794 0.756 0.116
O 0.277 0.698 0.463
O 0.756 0.794 0.616
O 0.926 0.074 0.250
O 0.302 0.723 0.037
O 0.698 0.277 0.963
O 0.074 0.926 0.750
O 0.244 0.206 0.384
O 0.723 0.302 0.537
O 0.206 0.244 0.884

Summary:
Space group: C2/c (15)
Raw formation energy: -2243 meV per atom
Electronic total energy: -59.41 eV/f.u.
Magnetic moment: 0.000 μB per cell

(3)
This record from Alexandria via LeMat-Bulk describes Pm4Pr2Dy5 after structural relaxation. The functional is PBE-GGA.

a b c (Å): 7.495 6.744 10.056
angles (deg): 63.94 68.12 56.24
Fractional coordinates of all 11 atoms:
Pm 0.316 0.870 0.497
Pm 0.684 0.130 0.503
Pm 0.676 0.773 0.875
Pm 0.324 0.227 0.125
Pr 0.144 0.841 0.872
Pr 0.856 0.159 0.128
Dy 0.215 0.357 0.776
Dy 0.785 0.643 0.224
Dy 0.000 0.500 0.500
Dy 0.651 0.357 0.776
Dy 0.349 0.643 0.224

Summary:
Excess energy over the best structure of this formula in the dataset: 0.0000 eV/atom
Space group: C2/m (12)
Electronic total energy: -50.22 eV/f.u.
Magnetic moment: 0.000 μB per cell
Formation energy from the elements: 123 meV per atom

(4)
This record from Alexandria via LeMat-Bulk describes Pr2MnSb3Rh4 after structural relaxation. The functional is PBE-GGA.

a b c (Å): 4.383 4.383 10.905
angles (deg): 90.00 90.00 90.00
Fractional coordinates of all 10 atoms:
Pr 0.500 0.000 0.256
Pr 0.000 0.500 0.744
Mn 0.500 0.500 0.500
Sb 0.000 0.000 0.500
Sb 0.500 0.000 0.864
Sb 0.000 0.500 0.136
Rh 0.500 0.500 0.000
Rh 0.000 0.000 0.000
Rh 0.500 0.000 0.629
Rh 0.000 0.500 0.371

Summary:
Space group: P-4m2 (115)
Raw formation energy: -731 meV per atom
Electronic total energy: -67.81 eV/f.u.
Magnetic moment: 4.082 μB per cell

(5)
This record from Alexandria via LeMat-Bulk describes CdCuSi2O after structural relaxation. The functional is PBE-GGA.

a b c (Å): 4.482 3.854 4.482
angles (deg): 90.00 90.00 90.00
Fractional coordinates of all 5 atoms:
Si 0.000 0.000 0.500
Si 0.500 0.000 0.000
O 0.000 0.000 0.000
Cu 0.000 0.500 0.000
Cd 0.500 0.500 0.500

Summary:
Space group: P4/mmm (123)
Raw formation energy: 200 meV per atom
Electronic total energy: -19.82 eV/f.u.
Magnetic moment: 0.000 μB per cell

(6)
This record from Alexandria via LeMat-Bulk describes ReMo6W3 after structural relaxation. The functional is PBE-GGA.

a b c (Å): 4.476 7.765 9.474
angles (deg): 105.74 90.00 90.00
Fractional coordinates of all 20 atoms:
Re 0.250 0.951 0.599
Re 0.750 0.049 0.401
Mo 0.250 0.450 0.101
Mo 0.750 0.550 0.899
Mo 0.250 0.149 0.202
Mo 0.750 0.851 0.798
Mo 0.250 0.650 0.699
Mo 0.750 0.350 0.301
Mo 0.250 0.250 0.500
Mo 0.750 0.750 0.500
Mo 0.250 0.850 0.300
Mo 0.750 0.150 0.700
Mo 0.250 0.050 0.900
Mo 0.750 0.950 0.100
W 0.250 0.551 0.400
W 0.750 0.449 0.600
W 0.250 0.349 0.800
W 0.750 0.651 0.200
W 0.250 0.750 0.999
W 0.750 0.250 0.001

Summary:
Space group: P2_1/m (11)
Electronic total energy: -116.30 eV/f.u.
Magnetic moment: 0.000 μB per cell
Formation energy from the elements: -1 meV per atom

(7)
This record from Alexandria via LeMat-Bulk describes SrLiFe2Si after structural relaxation. The functional is PBE-GGA.

a b c (Å): 4.510 5.672 4.510
angles (deg): 90.00 90.00 90.00
Fractional coordinates of all 5 atoms:
Sr 0.000 0.500 0.000
Si 0.000 0.000 0.000
Fe 0.000 0.000 0.500
Fe 0.500 0.000 0.000
Li 0.500 0.500 0.500

Summary:
Space group: P4/mmm (123)
Raw formation energy: 578 meV per atom
Electronic total energy: -23.05 eV/f.u.
Magnetic moment: 4.424 μB per cell

(8)
This record from Alexandria via LeMat-Bulk describes NbAlAuS2 after structural relaxation. The functional is PBE-GGA.

a b c (Å): 4.781 4.811 4.781
angles (deg): 90.00 90.00 90.00
Fractional coordinates of all 5 atoms:
Nb 0.500 0.500 0.500
Au 0.000 0.000 0.000
S 0.000 0.000 0.500
S 0.500 0.000 0.000
Al 0.000 0.500 0.000

Summary:
Space group: P4/mmm (123)
Raw formation energy: 1023 meV per atom
Electronic total energy: -20.23 eV/f.u.
Magnetic moment: 0.007 μB per cell

(9)
This record from Alexandria via LeMat-Bulk describes LaMgSc2Ga4 after structural relaxation. The functional is PBE-GGA.

a b c (Å): 4.674 4.674 9.568
angles (deg): 75.86 75.86 60.00
Fractional coordinates of all 8 atoms:
La 0.000 0.000 0.000
Mg 0.500 0.500 0.500
Sc 0.769 0.769 0.692
Sc 0.231 0.231 0.308
Ga 0.395 0.395 0.816
Ga 0.875 0.875 0.375
Ga 0.125 0.125 0.625
Ga 0.605 0.605 0.184

Summary:
Space group: R-3m (166)
Electronic total energy: -35.07 eV/f.u.
Magnetic moment: 0.000 μB per cell
Formation energy from the elements: -472 meV per atom

(10)
This record from Alexandria via LeMat-Bulk describes AlFeAs2 after structural relaxation. The functional is PBE-GGA.

a b c (Å): 4.357 4.357 3.347
angles (deg): 90.00 90.00 90.00
Fractional coordinates of all 4 atoms:
As 0.000 0.000 0.000
As 0.500 0.500 0.000
Fe 0.500 0.000 0.500
Al 0.000 0.500 0.500

Summary:
Space group: P4/mmm (123)
Electronic total energy: -20.46 eV/f.u.
Magnetic moment: 2.368 μB per cell
Formation energy from the elements: 261 meV per atom

(11)
This record from Alexandria via LeMat-Bulk describes Hf2Te2Cl after structural relaxation. The functional is PBE-GGA.

a b c (Å): 8.033 8.033 3.676
angles (deg): 90.00 90.00 90.00
Fractional coordinates of all 10 atoms:
Te 0.151 0.651 0.500
Te 0.651 0.849 0.500
Te 0.849 0.349 0.500
Te 0.349 0.151 0.500
Hf 0.365 0.865 0.000
Hf 0.865 0.635 0.000
Hf 0.635 0.135 0.000
Hf 0.135 0.365 0.000
Cl 0.000 0.000 0.000
Cl 0.500 0.500 0.000

Summary:
Excess energy over the best structure of this formula in the dataset: 0.0000 eV/atom
Space group: P4/mbm (127)
Raw formation energy: -668 meV per atom
Electronic total energy: -31.38 eV/f.u.
Magnetic moment: 0.000 μB per cell

(12)
This record from Alexandria via LeMat-Bulk describes KTaSb2 after structural relaxation. The functional is PBE-GGA.

a b c (Å): 6.053 6.053 6.053
angles (deg): 137.71 137.71 61.35
Fractional coordinates of all 4 atoms:
K 0.750 0.250 0.500
Sb 0.000 0.000 0.000
Sb 0.250 0.750 0.500
Ta 0.500 0.500 0.000

Summary:
Excess energy over the best structure of this formula in the dataset: 0.7179 eV/atom
Space group: I-4m2 (119)
Raw formation energy: 620 meV per atom
Electronic total energy: -18.71 eV/f.u.
Magnetic moment: 0.000 μB per cell

(13)
This record from Alexandria via LeMat-Bulk describes Ca2Si3SnPt4 after structural relaxation. The functional is PBE-GGA.

a b c (Å): 4.268 4.268 10.372
angles (deg): 90.00 90.00 90.00
Fractional coordinates of all 10 atoms:
Ca 0.500 0.000 0.242
Ca 0.000 0.500 0.758
Si 0.000 0.000 0.500
Si 0.500 0.000 0.878
Si 0.000 0.500 0.122
Sn 0.500 0.500 0.500
Pt 0.500 0.500 0.000
Pt 0.000 0.000 0.000
Pt 0.500 0.000 0.649
Pt 0.000 0.500 0.351

Summary:
Space group: P-4m2 (115)
Raw formation energy: -875 meV per atom
Electronic total energy: -57.18 eV/f.u.
Magnetic moment: 0.000 μB per cell

(14)
This record from Alexandria via LeMat-Bulk describes PmU3S6 after structural relaxation. The functional is PBE-GGA.

a b c (Å): 3.916 10.945 11.443
angles (deg): 107.59 90.00 90.00
Fractional coordinates of all 20 atoms:
Pm 0.750 0.048 0.693
Pm 0.250 0.952 0.307
U 0.750 0.432 0.835
U 0.250 0.568 0.165
U 0.750 0.682 0.504
U 0.250 0.318 0.496
U 0.750 0.154 0.079
U 0.250 0.846 0.921
S 0.750 0.487 0.620
S 0.250 0.513 0.380
S 0.750 0.914 0.098
S 0.250 0.086 0.902
S 0.750 0.397 0.062
S 0.250 0.603 0.938
S 0.750 0.740 0.275
S 0.250 0.260 0.725
S 0.750 0.121 0.463
S 0.250 0.879 0.537
S 0.750 0.805 0.752
S 0.250 0.195 0.248

Summary:
Space group: P2_1/m (11)
Raw formation energy: -1514 meV per atom
Electronic total energy: -78.52 eV/f.u.
Magnetic moment: 5.353 μB per cell

(15)
This record from Alexandria via LeMat-Bulk describes Nd4MgCd3 after structural relaxation. The functional is PBE-GGA.

a b c (Å): 3.884 5.440 10.901
angles (deg): 90.00 90.00 90.00
Fractional coordinates of all 8 atoms:
Mg 0.500 0.500 0.000
Nd 0.000 0.000 0.500
Nd 0.000 0.500 0.748
Nd 0.000 0.000 0.000
Nd 0.000 0.500 0.252
Cd 0.500 0.000 0.245
Cd 0.500 0.500 0.500
Cd 0.500 0.000 0.755

Summary:
Excess energy over the best structure of this formula in the dataset: 0.0000 eV/atom
Space group: Pmmm (47)
Electronic total energy: -25.56 eV/f.u.
Magnetic moment: 0.825 μB per cell
Formation energy from the elements: -268 meV per atom

(16)
This record from Alexandria via LeMat-Bulk describes TcP2PbS after structural relaxation. The functional is PBE-GGA.

a b c (Å): 4.503 4.503 5.437
angles (deg): 90.00 90.00 90.00
Fractional coordinates of all 5 atoms:
Pb 0.500 0.500 0.500
P 0.000 0.500 0.000
P 0.500 0.000 0.000
S 0.000 0.000 0.500
Tc 0.000 0.000 0.000

Summary:
Excess energy over the best structure of this formula in the dataset: 0.0000 eV/atom
Space group: P4/mmm (123)
Raw formation energy: 219 meV per atom
Electronic total energy: -27.93 eV/f.u.
Magnetic moment: 0.000 μB per cell

(17)
This record from Alexandria via LeMat-Bulk describes LiY2MgSc after structural relaxation. The functional is PBE-GGA.

a b c (Å): 5.727 4.617 5.727
angles (deg): 90.00 90.00 90.00
Fractional coordinates of all 5 atoms:
Y 0.000 0.000 0.500
Y 0.500 0.000 0.000
Sc 0.500 0.500 0.500
Mg 0.000 0.000 0.000
Li 0.000 0.500 0.000

Summary:
Space group: P4/mmm (123)
Electronic total energy: -19.61 eV/f.u.
Magnetic moment: 1.213 μB per cell
Formation energy from the elements: 631 meV per atom

(18)
This record from Alexandria via LeMat-Bulk describes PmDy7Er2 after structural relaxation. The functional is PBE-GGA.

a b c (Å): 6.139 9.375 6.133
angles (deg): 109.00 99.65 102.63
Fractional coordinates of all 10 atoms:
Pm 0.000 0.000 0.000
Dy 0.000 0.798 0.399
Dy 0.000 0.202 0.601
Dy 0.999 0.599 0.799
Dy 0.001 0.401 0.201
Dy 0.500 0.899 0.200
Dy 0.500 0.101 0.800
Dy 0.500 0.500 0.000
Er 0.499 0.699 0.599
Er 0.501 0.301 0.401

Summary:
Excess energy over the best structure of this formula in the dataset: 0.0000 eV/atom
Space group: P-1 (2)
Electronic total energy: -45.90 eV/f.u.
Magnetic moment: 0.000 μB per cell
Formation energy from the elements: 19 meV per atom

(19)
This record from Alexandria via LeMat-Bulk describes Hf2ScAl after structural relaxation. The functional is PBE-GGA.

a b c (Å): 3.094 3.094 8.766
angles (deg): 90.00 90.00 90.00
Fractional coordinates of all 4 atoms:
Sc 0.500 0.500 0.500
Hf 0.000 0.000 0.772
Hf 0.000 0.000 0.228
Al 0.500 0.500 0.000

Summary:
Space group: P4/mmm (123)
Electronic total energy: -30.58 eV/f.u.
Magnetic moment: 0.000 μB per cell
Formation energy from the elements: -150 meV per atom